First-principles (GGA-PBE) data for Tl2CdAg2 after structural relaxation, as listed in the Alexandria database.

Cell: 4.4824 4.4824 13.3210 Å, 90.00 90.00 90.00°
Last column: nearest neighbours and their distance in Å.
Space group I4/mmm (No. 139)
One atom of each set of equivalent atoms:
Tl  0.0000  0.5000  0.2500 (multiplicity 4)  4 Ag 3.01, 4 Tl 3.17
Cd  0.0000  0.0000  0.0000 (multiplicity 2)  8 Ag 3.44
Ag  0.0000  0.0000  0.4006 (multiplicity 4)  1 Ag 2.65

- formation energy from the elements (eV/atom) = 0.2577
- volume (Å³/atom) = 26.8
- total magnetic moment (μB per atom) = 0.00
- polymorph energy (0 for the lowest one) (eV per formula unit) = 0.80

***

First-principles (GGA-PBE) data for Pu3Tc2Ge3 after structural relaxation, as listed in the Alexandria database.

Cell: 4.2966 10.4847 14.1763 Å, 90.00 90.00 90.00°
Last column: nearest neighbours and their distance in Å.
Space group Cmcm (No. 63)
One atom of each set of equivalent atoms:
Pu  0.0000  0.0612  0.1060 (multiplicity 8)  1 Tc 2.84, 4 Ge 3.01-3.05
Pu  0.0000  0.3250  0.2500 (multiplicity 4)  4 Tc 2.80, 5 Ge 2.99-3.11
Tc  0.0000  0.2081  0.6252 (multiplicity 8)  4 Ge 2.60-2.71, 3 Pu 2.80-2.84
Ge  0.0000  0.3529  0.0328 (multiplicity 8)  3 Tc 2.60-2.71
Ge  0.0000  0.3898  0.7500 (multiplicity 4)  2 Tc 2.60

- formation energy from the elements (eV/atom) = -0.3061
- volume (Å³/atom) = 20.0
- total magnetic moment (μB per atom) = 1.81
- polymorph energy (0 for the lowest one) (eV per formula unit) = 0.00

***

First-principles (GGA-PBE) data for PuMg16Al12 after structural relaxation, as listed in the Alexandria database.

Cell: 10.6187 15.1594 9.0928 Å, 90.00 125.72 90.00°
Last column: nearest neighbours and their distance in Å.
Space group Cm (No. 8)
One atom of each set of equivalent atoms:
Pu  0.0000  0.0000  0.0000 (multiplicity 2)  5 Al 2.98-3.10, 7 Mg 3.14-3.30
Mg  0.1117  0.2985  0.4258 (multiplicity 4)  5 Al 2.88-3.23, 6 Mg 3.07-3.19
Mg  0.2386  0.5000  0.4735 (multiplicity 2)  5 Al 2.89-3.06, 3 Mg 3.14-3.17
Mg  0.2451  0.1669  0.7400 (multiplicity 4)  6 Al 3.04-3.14, 4 Mg 3.07-3.10
Mg  0.2544  0.1605  0.1346 (multiplicity 4)  5 Al 2.92-3.23, 6 Mg 3.04-3.17
Mg  0.2564  0.5000  0.0908 (multiplicity 2)  6 Al 3.02-3.18, 3 Mg 3.06-3.16, 1 Pu 3.14
Mg  0.3606  0.3418  0.3456 (multiplicity 4)  5 Al 2.97-3.14, 7 Mg 3.06-3.25
Mg  0.4024  0.0000  0.3776 (multiplicity 2)  4 Mg 3.04-3.22, 7 Al 3.11-3.28
Mg  0.4123  0.0000  0.7381 (multiplicity 2)  4 Mg 3.10-3.22, 12 Al 3.18-3.26
Mg  0.4281  0.2978  0.0546 (multiplicity 4)  5 Al 2.93-3.22, 6 Mg 3.07-3.19, 1 Pu 3.27
Mg  0.4526  0.3453  0.7379 (multiplicity 4)  4 Al 2.92-3.25, 6 Mg 3.10-3.17, 1 Pu 3.17
Al  0.0190  0.4073  0.1177 (multiplicity 4)  3 Al 2.68-2.81, 1 Mg 2.88
Al  0.0524  0.0000  0.5774 (multiplicity 2)  3 Al 2.70-2.86, 1 Mg 2.89
Al  0.1016  0.3211  0.9293 (multiplicity 4)  3 Al 2.68-2.77, 3 Mg 2.92-2.97
Al  0.1366  0.0908  0.3703 (multiplicity 4)  3 Al 2.71-2.86, 2 Mg 2.93-2.99
Al  0.1857  0.4096  0.7348 (multiplicity 4)  3 Al 2.72-2.75, 3 Mg 2.96-3.04
Al  0.2489  0.0000  0.9430 (multiplicity 2)  3 Al 2.70-2.72, 2 Mg 2.97, 1 Pu 2.98
Al  0.4109  0.1787  0.5541 (multiplicity 4)  3 Al 2.71-2.77, 3 Mg 2.92-2.99

- formation energy from the elements (eV/atom) = -0.0208
- volume (Å³/atom) = 20.5
- total magnetic moment (μB per atom) = 0.21
- polymorph energy (0 for the lowest one) (eV per formula unit) = 0.91

***

First-principles (GGA-PBE) data for K2AgPtF after structural relaxation, as listed in the Alexandria database.

Cell: 6.1615 6.1615 4.1250 Å, 90.00 90.00 90.00°
Last column: nearest neighbours and their distance in Å.
Space group P4/mmm (No. 123)
One atom of each set of equivalent atoms:
K  0.0000  0.5000  0.0000 (multiplicity 2)  2 Ag 3.08
Ag  0.0000  0.0000  0.0000 (multiplicity 1)  2 F 2.06
Pt  0.5000  0.5000  0.5000 (multiplicity 1)  8 K 3.71, 2 Pt 4.12
F  0.0000  0.0000  0.5000 (multiplicity 1)  2 Ag 2.06

- ΔE_f (raw) (meV/atom) = -160
- volume (Å³/atom) = 31.3
- total magnetic moment (μB per atom) = 0.00

***

First-principles (GGA-PBE) data for Rb2UVS4 after structural relaxation, as listed in the Alexandria database.

Cell: 7.3805 7.3805 9.4642 Å, 90.00 90.00 90.00°
Last column: nearest neighbours and their distance in Å.
Space group I-4 (No. 82)
One atom of each set of equivalent atoms:
Rb  0.0000  0.0000  0.0000 (multiplicity 2)  4 S 3.41
Rb  0.0000  0.5000  0.2500 (multiplicity 2)  4 S 3.32
U  0.0000  0.5000  0.7500 (multiplicity 2)  4 S 2.61
V  0.0000  0.0000  0.5000 (multiplicity 2)  4 S 2.33
S  0.1543  0.2322  0.6161 (multiplicity 8)  1 V 2.33, 1 U 2.61

- ΔE_f (raw) (meV/atom) = -993
- volume (Å³/atom) = 32.2
- total magnetic moment (μB per atom) = 0.62

***

First-principles (GGA-PBE) data for CoSb2Rh after structural relaxation, as listed in the Alexandria database.

Cell: 3.2717 3.2717 7.4151 Å, 90.00 90.00 90.00°
Last column: nearest neighbours and their distance in Å.
Space group P4mm (No. 99)
One atom of each set of equivalent atoms:
Co  0.0000  0.0000  0.0000 (multiplicity 1)  5 Sb 2.64-2.91, 4 Rh 2.77
Sb  0.0000  0.0000  0.3925 (multiplicity 1)  4 Rh 2.70, 1 Co 2.91
Sb  0.5000  0.5000  0.8279 (multiplicity 1)  4 Co 2.64, 1 Rh 2.80
Rh  0.5000  0.5000  0.2057 (multiplicity 1)  5 Sb 2.70-2.80, 4 Co 2.77

- ΔE_f (raw) (meV/atom) = -20
- volume (Å³/atom) = 19.8
- total magnetic moment (μB per atom) = 0.13
- polymorph energy (0 for the lowest one) (eV per formula unit) = 0.45

***

Among the records above, which one has the highest total magnetic moment?
Pu3Tc2Ge3

***

What did the fifth record say?
First-principles (GGA-PBE) data for Rb2UVS4 after structural relaxation, as listed in the Alexandria database.

Cell: 7.3805 7.3805 9.4642 Å, 90.00 90.00 90.00°
Last column: nearest neighbours and their distance in Å.
Space group I-4 (No. 82)
One atom of each set of equivalent atoms:
Rb  0.0000  0.0000  0.0000 (multiplicity 2)  4 S 3.41
Rb  0.0000  0.5000  0.2500 (multiplicity 2)  4 S 3.32
U  0.0000  0.5000  0.7500 (multiplicity 2)  4 S 2.61
V  0.0000  0.0000  0.5000 (multiplicity 2)  4 S 2.33
S  0.1543  0.2322  0.6161 (multiplicity 8)  1 V 2.33, 1 U 2.61

- ΔE_f (raw) (meV/atom) = -993
- volume (Å³/atom) = 32.2
- total magnetic moment (μB per atom) = 0.62

***

Which formula does entry 2 have?
Pu3Tc2Ge3